Record 1
## PmVClO4 (PBE with a Hubbard U)

Data for a relaxed PmVClO4 crystal.

Calculated values
Energy = -98.03 eV for the cell shown

Cell and atoms, written as POSCAR:
```
PmVClO4
1.0
6.510 0.194 -0.324
2.339 6.078 -0.324
1.461 1.036 6.596
Pm V Cl O
2 2 2 8
Cartesian
3.506 2.485 5.603
6.804 4.823 0.345
6.665 4.724 4.397
3.645 2.583 1.552
0.418 0.296 1.204
9.892 7.011 4.744
3.492 2.475 3.270
6.819 4.833 2.678
2.194 3.184 0.777
5.024 3.561 1.167
6.579 6.293 5.171
3.731 1.015 0.777
5.287 3.747 4.781
8.117 4.123 5.171
```

Record 2
## Pm3WCl2O6 (PBE with a Hubbard U)

Data for a relaxed Pm3WCl2O6 crystal.

Calculated values
Energy = -84.33 eV for the cell shown

Cell and atoms, written as POSCAR:
```
Pm3WCl2O6
1.0
-4.836 1.692 2.195
-1.973 -6.123 0.372
2.549 2.913 5.656
Pm W Cl O
3 1 2 6
Cartesian
-0.987 -3.062 0.186
-2.130 -0.759 4.111
-1.143 2.302 3.926
-2.418 0.846 1.097
-0.927 -2.917 2.883
-3.333 1.398 5.340
-3.656 -0.225 2.283
-0.604 -1.293 5.940
-3.171 -2.018 5.773
-1.089 0.500 2.450
0.472 2.045 5.737
-4.732 -3.564 2.486
```

| no. | DOS at the Fermi energy (states/eV/cell) |
| --- | --- |
| 1 | 1.744 |
| 2 | 1.622 |